[1]
# CoPtPbAu (PBE, optimized geometry)
# Offset from the most stable computed form   0 meV per atom
# Volume   17.6 Å³/atom
data_CoPtPbAu
_cell_length_a 6.549
_cell_length_b 6.549
_cell_length_c 6.549
_cell_angle_alpha 90.00
_cell_angle_beta 90.00
_cell_angle_gamma 90.00
_symmetry_space_group_name_H-M 'F -4 3 m'
_symmetry_Int_Tables_number 216
_symmetry_space_group_name_Hall 'F -4 2 3'
loop_
_atom_site_label
_atom_site_type_symbol
_atom_site_fract_x
_atom_site_fract_y
_atom_site_fract_z
_atom_site_occupancy
Co1 Co 0.000 0.000 0.000 1
Pt1 Pt 0.000 0.000 0.500 1
Pb1 Pb 0.250 0.250 0.750 1
Au1 Au 0.250 0.250 0.250 1



[2]
# HoFe2SiGe (PBE, optimized geometry)
# VASP energy   -6.82 eV per atom
# Volume   15.3 Å³/atom
data_HoFe2SiGe
_cell_length_a 3.980
_cell_length_b 3.980
_cell_length_c 9.666
_cell_angle_alpha 90.00
_cell_angle_beta 90.00
_cell_angle_gamma 90.00
_symmetry_space_group_name_H-M 'I 4 m m'
_symmetry_Int_Tables_number 107
_symmetry_space_group_name_Hall 'I 4 -2'
loop_
_atom_site_label
_atom_site_type_symbol
_atom_site_fract_x
_atom_site_fract_y
_atom_site_fract_z
_atom_site_occupancy
Ho1 Ho 0.000 0.000 0.000 1
Fe1 Fe 0.000 0.500 0.255 1
Si1 Si 0.000 0.000 0.364 1
Ge1 Ge 0.000 0.000 0.629 1



Question: What is the volume in the second record?
Answer: 15.3 Å³/atom